The following is a PBE calculation of an optimized crystal structure of PmGd2Tm, from Alexandria.

Density in Mg/m³: 8.1
Final energy in eV/f.u.: -37.3
ΔH_f (0 K) in eV/atom: 0.03

Cell: 3.579 3.579 10.089 Å, 90.00 90.00 90.00°
Space group P4/mmm (No. 123)
Asymmetric unit:
Pm 0.000 0.000 0.000 [1 per cell]
Gd 0.500 0.500 0.255 [2 per cell]
Tm 0.000 0.000 0.500 [1 per cell]